(1)
## Pr3Si2HgPd9 (PBE-GGA)

Data for a relaxed structure of Pr3Si2HgPd9.

**Raw formation energy**: -592 meV/atom

Unit cell a=5.9316 b=5.9316 c=10.9376 alpha=90.00 beta=90.00 gamma=120.00
Last column: nearest neighbours and their distance in Å.
Fractional coordinates of all 15 atoms:
Pd: 0.3118 0.1559 0.7106  1 Si 2.33
Pd: 0.6882 0.8441 0.2894  1 Si 2.33
Pd: 0.1559 0.8441 0.2894  1 Si 2.33
Pd: 0.0000 0.5000 0.0000  2 Si 2.42
Pd: 0.8441 0.6882 0.7106  1 Si 2.33
Pd: 0.5000 0.0000 0.0000  2 Si 2.42
Pd: 0.5000 0.5000 0.0000  2 Si 2.42
Pd: 0.8441 0.1559 0.7106  1 Si 2.33
Pd: 0.1559 0.3118 0.2894  1 Si 2.33
Pr: 0.0000 0.0000 0.0000  6 Pd 2.97
Pr: 0.6667 0.3333 0.2626  6 Pd 2.98
Pr: 0.3333 0.6667 0.7374  6 Pd 2.98
Hg: 0.0000 0.0000 0.5000  6 Pd 2.81
Si: 0.3333 0.6667 0.1570  6 Pd 2.33-2.42
Si: 0.6667 0.3333 0.8430  6 Pd 2.33-2.42

(2)
## Pr2Sn4HgPd3 (PBE-GGA)

Data for a relaxed structure of Pr2Sn4HgPd3.

**Calculated formation energy**: -6.6 eV per formula unit

Unit cell a=4.5327 b=4.5327 c=11.4622 alpha=90.00 beta=90.00 gamma=90.00
Last column: nearest neighbours and their distance in Å.
Fractional coordinates of all 10 atoms:
Sn: 0.0000 0.0000 0.0000  4 Pd 2.70
Sn: 0.5000 0.5000 0.0000  4 Pd 2.70
Sn: 0.5000 0.0000 0.6447  3 Pd 2.60-2.81, 2 Hg 2.81
Sn: 0.0000 0.5000 0.3553  3 Pd 2.60-2.81, 2 Hg 2.81
Pd: 0.0000 0.5000 0.1287  5 Sn 2.60-2.70
Pd: 0.0000 0.0000 0.5000  4 Sn 2.81
Pd: 0.5000 0.0000 0.8713  5 Sn 2.60-2.70
Pr: 0.5000 0.0000 0.2502  8 Sn 3.42-3.66, 6 Pd 3.49-3.65, 2 Hg 3.65
Pr: 0.0000 0.5000 0.7498  8 Sn 3.42-3.66, 6 Pd 3.49-3.65, 2 Hg 3.65
Hg: 0.5000 0.5000 0.5000  4 Sn 2.81

(3)
## Pr2Sn3HgPd4 (PBE-GGA)

Data for a relaxed structure of Pr2Sn3HgPd4.

**Calculated formation energy**: -6.9 eV per formula unit

Unit cell a=4.5693 b=4.5693 c=10.9268 alpha=90.00 beta=90.00 gamma=90.00
Last column: nearest neighbours and their distance in Å.
Fractional coordinates of all 10 atoms:
Sn: 0.0000 0.5000 0.1260  5 Pd 2.58-2.67
Sn: 0.0000 0.0000 0.5000  4 Pd 2.74
Sn: 0.5000 0.0000 0.8740  5 Pd 2.58-2.67
Pd: 0.5000 0.0000 0.6380  3 Sn 2.58-2.74, 2 Hg 2.74
Pd: 0.0000 0.0000 0.0000  4 Sn 2.67
Pd: 0.0000 0.5000 0.3620  3 Sn 2.58-2.74, 2 Hg 2.74
Pd: 0.5000 0.5000 0.0000  4 Sn 2.67
Pr: 0.0000 0.5000 0.7526  8 Pd 3.46-3.54, 6 Sn 3.49-3.58, 2 Hg 3.58
Pr: 0.5000 0.0000 0.2474  8 Pd 3.46-3.54, 6 Sn 3.49-3.58, 2 Hg 3.58
Hg: 0.5000 0.5000 0.5000  4 Pd 2.74

(4)
## PrTmHgPd (PBE-GGA)

Data for a relaxed structure of PrTmHgPd.

**Calculated formation energy**: -2.4 eV per formula unit

Unit cell a=5.1908 b=5.1908 c=5.1908 alpha=60.00 beta=60.00 gamma=60.00
Last column: nearest neighbours and their distance in Å.
Fractional coordinates of all 4 atoms:
Pr: 0.2500 0.2500 0.2500  4 Hg 3.18, 4 Pd 3.18
Tm: 0.7500 0.7500 0.7500  4 Hg 3.18, 4 Pd 3.18
Pd: 0.0000 0.0000 0.0000  4 Pr 3.18, 4 Tm 3.18
Hg: 0.5000 0.5000 0.5000  4 Pr 3.18, 4 Tm 3.18

(5)
## PrZnHgPd (PBE-GGA)

Data for a relaxed structure of PrZnHgPd.

**Calculated formation energy**: -1.7 eV per formula unit

Unit cell a=4.9410 b=4.9410 c=4.9410 alpha=60.00 beta=60.00 gamma=60.00
Last column: nearest neighbours and their distance in Å.
Fractional coordinates of all 4 atoms:
Hg: 0.2500 0.2500 0.2500  4 Pd 3.03, 4 Zn 3.03
Pr: 0.7500 0.7500 0.7500  4 Zn 3.03, 4 Pd 3.03
Zn: 0.0000 0.0000 0.0000  4 Pr 3.03, 4 Hg 3.03
Pd: 0.5000 0.5000 0.5000  4 Hg 3.03, 4 Pr 3.03

(6)
## Pr2Zn3HgPd4 (PBE-GGA)

Data for a relaxed structure of Pr2Zn3HgPd4.

**Calculated formation energy**: -5.6 eV per formula unit

Unit cell a=4.2543 b=4.2543 c=11.1734 alpha=90.00 beta=90.00 gamma=90.00
Last column: nearest neighbours and their distance in Å.
Fractional coordinates of all 10 atoms:
Zn: 0.0000 0.0000 0.5000  4 Pd 2.74, 4 Hg 3.01
Zn: 0.0000 0.5000 0.1243  5 Pd 2.47-2.54
Zn: 0.5000 0.0000 0.8757  5 Pd 2.47-2.54
Pd: 0.0000 0.0000 0.0000  4 Zn 2.54
Pd: 0.5000 0.0000 0.6543  3 Zn 2.47-2.74, 2 Hg 2.74
Pd: 0.0000 0.5000 0.3457  3 Zn 2.47-2.74, 2 Hg 2.74
Pd: 0.5000 0.5000 0.0000  4 Zn 2.54
Pr: 0.0000 0.5000 0.7573  8 Pd 3.22-3.45, 6 Zn 3.29-3.58, 2 Hg 3.58
Pr: 0.5000 0.0000 0.2427  8 Pd 3.22-3.45, 6 Zn 3.29-3.58, 2 Hg 3.58
Hg: 0.5000 0.5000 0.5000  4 Pd 2.74, 4 Zn 3.01

(7)
## Hg3Pd6Pt (PBE-GGA)

Data for a relaxed structure of Hg3Pd6Pt.

**Calculated formation energy**: -1.0 eV per formula unit

Unit cell a=4.7008 b=7.6828 c=10.1276 alpha=111.48 beta=90.00 gamma=90.00
Last column: nearest neighbours and their distance in Å.
Fractional coordinates of all 20 atoms:
Hg: 0.2500 0.3546 0.7746  8 Pd 2.76-2.92, 1 Pt 2.97, 2 Hg 3.05
Hg: 0.7500 0.2247 0.0181  11 Pd 2.82-2.95, 1 Hg 3.14
Hg: 0.2500 0.5572 0.3827  9 Pd 2.79-3.00, 1 Pt 2.99, 2 Hg 3.05
Hg: 0.2500 0.7753 0.9819  11 Pd 2.82-2.95, 1 Hg 3.14
Hg: 0.7500 0.4428 0.6173  9 Pd 2.79-3.00, 1 Pt 2.99, 2 Hg 3.05
Hg: 0.7500 0.6454 0.2254  8 Pd 2.76-2.92, 1 Pt 2.97, 2 Hg 3.05
Pd: 0.7500 0.9442 0.1358  4 Hg 2.76-2.86, 1 Pt 2.80, 6 Pd 2.84-2.93
Pd: 0.7500 0.3300 0.3205  5 Hg 2.81-2.92, 5 Pd 2.83-2.96, 1 Pt 2.85
Pd: 0.2500 0.0558 0.8642  4 Hg 2.76-2.86, 1 Pt 2.80, 6 Pd 2.84-2.93
Pd: 0.2500 0.4651 0.0767  5 Pd 2.81-3.09, 7 Hg 2.86-2.91
Pd: 0.2500 0.6700 0.6795  5 Hg 2.81-2.92, 5 Pd 2.83-2.96, 1 Pt 2.85
Pd: 0.7500 0.7506 0.5331  3 Pt 2.76-2.81, 4 Hg 2.79-2.92, 4 Pd 2.82-2.96
Pd: 0.2500 0.1633 0.1710  8 Pd 2.81-2.91, 4 Hg 2.89-3.00
Pd: 0.7500 0.1272 0.7190  3 Pt 2.74-2.83, 5 Pd 2.82-3.06, 4 Hg 2.84-2.96
Pd: 0.2500 0.2494 0.4669  3 Pt 2.76-2.81, 4 Hg 2.79-2.92, 4 Pd 2.82-2.96
Pd: 0.2500 0.8728 0.2810  3 Pt 2.74-2.83, 5 Pd 2.82-3.06, 4 Hg 2.84-2.96
Pd: 0.7500 0.8367 0.8290  8 Pd 2.81-2.91, 4 Hg 2.89-3.00
Pd: 0.7500 0.5349 0.9233  5 Pd 2.81-3.09, 7 Hg 2.86-2.91
Pt: 0.7500 0.0372 0.4305  8 Pd 2.74-2.85, 2 Pt 2.90, 2 Hg 2.97-2.99
Pt: 0.2500 0.9628 0.5695  8 Pd 2.74-2.85, 2 Pt 2.90, 2 Hg 2.97-2.99

(8)
## HgPd5Pt (PBE-GGA)

Data for a relaxed structure of HgPd5Pt.

**Energy relative to the lowest polymorph listed for this composition**: 0.00 eV per formula unit
**Calculated formation energy**: 0.6 eV per formula unit

Unit cell a=3.9839 b=3.9839 c=7.6746 alpha=90.00 beta=90.00 gamma=90.00
Last column: nearest neighbours and their distance in Å.
Fractional coordinates of all 7 atoms:
Pt: 0.0000 0.0000 0.5000  8 Pd 2.64
Pd: 0.5000 0.0000 0.7259  2 Pt 2.64, 6 Pd 2.82-2.90, 2 Hg 2.90
Pd: 0.5000 0.5000 0.0000  4 Hg 2.82, 8 Pd 2.90
Pd: 0.0000 0.5000 0.7259  2 Pt 2.64, 6 Pd 2.82-2.90, 2 Hg 2.90
Pd: 0.0000 0.5000 0.2741  2 Pt 2.64, 6 Pd 2.82-2.90, 2 Hg 2.90
Pd: 0.5000 0.0000 0.2741  2 Pt 2.64, 6 Pd 2.82-2.90, 2 Hg 2.90
Hg: 0.0000 0.0000 0.0000  12 Pd 2.82-2.90

(9)
## Hg4Pd7Pt (PBE-GGA)

Data for a relaxed structure of Hg4Pd7Pt.

**Energy relative to the lowest polymorph listed for this composition**: 2.46 eV per formula unit
**Calculated formation energy**: 1.4 eV per formula unit

Unit cell a=4.9839 b=9.2662 c=5.7219 alpha=78.74 beta=64.18 gamma=74.40
Last column: nearest neighbours and their distance in Å.
Fractional coordinates of all 12 atoms:
Pd: 0.9263 0.3043 0.8430  4 Pd 2.76-3.04, 1 Pt 2.76, 4 Hg 2.94-2.96
Pd: 0.0737 0.6957 0.1570  4 Pd 2.76-3.04, 1 Pt 2.76, 4 Hg 2.94-2.96
Pd: 0.2128 0.0768 0.4975  1 Pt 2.62, 4 Pd 2.71-2.84, 4 Hg 2.74-2.87
Pd: 0.7872 0.9232 0.5025  1 Pt 2.62, 4 Pd 2.71-2.84, 4 Hg 2.74-2.87
Pd: 0.3639 0.4983 0.7740  5 Hg 2.72-2.92, 4 Pd 2.76-3.04
Pd: 0.6361 0.5017 0.2260  5 Hg 2.72-2.92, 4 Pd 2.76-3.04
Pd: 0.5000 0.0000 0.0000  2 Pt 2.49, 2 Pd 2.71
Hg: 0.4001 0.7751 0.4247  8 Pd 2.73-2.96
Hg: 0.8196 0.6331 0.7277  6 Pd 2.72-2.94
Hg: 0.5999 0.2249 0.5753  8 Pd 2.73-2.96
Hg: 0.1804 0.3669 0.2723  6 Pd 2.72-2.94
Pt: 0.0000 0.0000 0.0000  6 Pd 2.49-2.76

(10)
## Hg2PdPt (PBE-GGA)

Data for a relaxed structure of Hg2PdPt.

**Energy relative to the lowest polymorph listed for this composition**: 0.08 eV per formula unit
**Calculated formation energy**: -0.2 eV per formula unit

Unit cell a=4.6827 b=4.6827 c=4.6827 alpha=60.00 beta=60.00 gamma=60.00
Last column: nearest neighbours and their distance in Å.
Fractional coordinates of all 4 atoms:
Hg: 0.2500 0.2500 0.2500  4 Pt 2.87, 4 Pd 2.87
Hg: 0.7500 0.7500 0.7500  4 Pt 2.87, 4 Pd 2.87
Pd: 0.0000 0.0000 0.0000  8 Hg 2.87
Pt: 0.5000 0.5000 0.5000  8 Hg 2.87

(11)
## Hg2Pd4Pt (PBE-GGA)

Data for a relaxed structure of Hg2Pd4Pt.

**Energy relative to the lowest polymorph listed for this composition**: 0.70 eV per formula unit
**Calculated formation energy**: 0.5 eV per formula unit

Unit cell a=6.9243 b=6.9243 c=6.9243 alpha=108.99 beta=110.44 gamma=108.99
Last column: nearest neighbours and their distance in Å.
Fractional coordinates of all 14 atoms:
Pd: 0.2955 0.2502 0.8890  2 Pt 2.70-2.73, 4 Hg 2.77-2.82, 1 Pd 2.79
Pd: 0.9547 0.5936 0.7045  2 Pt 2.70-2.73, 4 Hg 2.77-2.82, 1 Pd 2.79
Pd: 0.1112 0.9064 0.3610  2 Pt 2.70-2.73, 4 Hg 2.77-2.82, 1 Pd 2.79
Pd: 0.6390 0.7502 0.5455  2 Pt 2.70-2.73, 4 Hg 2.77-2.82, 1 Pd 2.79
Pd: 0.1110 0.4064 0.3612  2 Pt 2.70-2.73, 4 Hg 2.77-2.82, 1 Pd 2.79
Pd: 0.4545 0.0936 0.2047  2 Pt 2.70-2.73, 4 Hg 2.77-2.82, 1 Pd 2.79
Pd: 0.7953 0.2498 0.8888  2 Pt 2.70-2.73, 4 Hg 2.77-2.82, 1 Pd 2.79
Pd: 0.6388 0.7498 0.0453  2 Pt 2.70-2.73, 4 Hg 2.77-2.82, 1 Pd 2.79
Pt: 0.7500 0.5000 0.2500  8 Pd 2.70-2.73
Pt: 0.0000 0.0000 0.0000  8 Pd 2.70-2.73
Hg: 0.2575 0.6325 0.1250  8 Pd 2.77-2.82
Hg: 0.3750 0.8675 0.7425  8 Pd 2.77-2.82
Hg: 0.4925 0.3675 0.6250  8 Pd 2.77-2.82
Hg: 0.8750 0.1325 0.5075  8 Pd 2.77-2.82

(12)
## HgPd3Pt (PBE-GGA)

Data for a relaxed structure of HgPd3Pt.

**Energy relative to the lowest polymorph listed for this composition**: 0.00 eV per formula unit
**Calculated formation energy**: -0.4 eV per formula unit

Unit cell a=4.0188 b=5.7213 c=14.2766 alpha=90.00 beta=90.00 gamma=90.00
Last column: nearest neighbours and their distance in Å.
Fractional coordinates of all 20 atoms:
Pd: 0.2500 0.3683 0.5492  4 Pt 2.79-2.93, 5 Pd 2.84-2.88, 3 Hg 2.85
Pd: 0.7500 0.6317 0.4508  4 Pt 2.79-2.93, 5 Pd 2.84-2.88, 3 Hg 2.85
Pd: 0.2500 0.8837 0.3527  3 Pt 2.79-2.81, 6 Pd 2.84-2.88, 3 Hg 2.86-2.89
Pd: 0.2500 0.3659 0.7511  4 Hg 2.84-2.85, 7 Pd 2.86-2.88, 1 Pt 2.87
Pd: 0.7500 0.6341 0.2489  4 Hg 2.84-2.85, 7 Pd 2.86-2.88, 1 Pt 2.87
Pd: 0.7500 0.1341 0.2511  4 Hg 2.84-2.85, 7 Pd 2.86-2.88, 1 Pt 2.87
Pd: 0.7500 0.6163 0.8527  3 Pt 2.79-2.81, 6 Pd 2.84-2.88, 3 Hg 2.86-2.89
Pd: 0.7500 0.1317 0.0492  4 Pt 2.79-2.93, 5 Pd 2.84-2.88, 3 Hg 2.85
Pd: 0.2500 0.8659 0.7489  4 Hg 2.84-2.85, 7 Pd 2.86-2.88, 1 Pt 2.87
Pd: 0.7500 0.1163 0.6473  3 Pt 2.79-2.81, 6 Pd 2.84-2.88, 3 Hg 2.86-2.89
Pd: 0.2500 0.3837 0.1473  3 Pt 2.79-2.81, 6 Pd 2.84-2.88, 3 Hg 2.86-2.89
Pd: 0.2500 0.8683 0.9508  4 Pt 2.79-2.93, 5 Pd 2.84-2.88, 3 Hg 2.85
Pt: 0.7500 0.6196 0.0480  8 Pd 2.79-2.93, 2 Pt 2.79, 2 Hg 2.91
Pt: 0.2500 0.3804 0.9520  8 Pd 2.79-2.93, 2 Pt 2.79, 2 Hg 2.91
Pt: 0.2500 0.8804 0.5480  8 Pd 2.79-2.93, 2 Pt 2.79, 2 Hg 2.91
Pt: 0.7500 0.1196 0.4520  8 Pd 2.79-2.93, 2 Pt 2.79, 2 Hg 2.91
Hg: 0.2500 0.3846 0.3495  10 Pd 2.84-2.89, 2 Pt 2.91
Hg: 0.7500 0.6154 0.6505  10 Pd 2.84-2.89, 2 Pt 2.91
Hg: 0.7500 0.1154 0.8495  10 Pd 2.84-2.89, 2 Pt 2.91
Hg: 0.2500 0.8846 0.1505  10 Pd 2.84-2.89, 2 Pt 2.91

For the records above, the corresponding energy values read -5.407; -4.802; -4.958; -4.274; -3.306; -4.006; -3.913; -4.532; -3.519; -3.007; -3.843; -4.459 eV/atom.